CrOsPd (PBE-GGA, relaxed); ΔH_f (0 K) = 131.2 meV/atom; energy relative to the lowest polymorph listed for this composition = 0.074 eV per formula unit
1.0
-1.359 1.359 5.649
1.359 -1.359 5.649
1.359 1.359 -5.649
Cr Os Pd
1 1 1
Direct
0.000 0.000 0.000
0.644 0.644 0.000
0.331 0.331 0.000